No. 1
Computed, not measured: Ca5Dy3S8 after structural relaxation at the PBE level of DFT.

a = 7.9663 Å, b = 7.9663 Å, c = 7.9663 Å
α = 59.73°, β = 59.73°, γ = 59.73°
Sites, in units of the cell vectors:
Ca1 0.0000 0.0000 0.0000
Ca2 0.0000 0.5000 0.5000
Ca3 0.5000 0.0000 0.5000
Ca4 0.5000 0.5000 0.0000
Ca5 0.5000 0.5000 0.5000
Dy1 0.0000 0.0000 0.5000
Dy2 0.0000 0.5000 0.0000
Dy3 0.5000 0.0000 0.0000
S1 0.2449 0.7500 0.7500
S2 0.2481 0.2481 0.2481
S3 0.2500 0.2500 0.7551
S4 0.2500 0.7551 0.2500
S5 0.7500 0.2449 0.7500
S6 0.7500 0.7500 0.2449
S7 0.7519 0.7519 0.7519
S8 0.7551 0.2500 0.2500

Results
- total magnetization (μB/f.u.) = 0.00
- DFT total energy (eV for the cell shown) = -90.1
- energy relative to the elements, uncorrected (eV/atom) = -2.08
- density (g/cm3) = 4.414
- space group = R-3m, No. 166

No. 2
Computed, not measured: Ca2DyS3 after structural relaxation at the PBE level of DFT.

a = 13.1902 Å, b = 12.5779 Å, c = 6.8966 Å
α = 79.44°, β = 69.63°, γ = 30.93°
Sites, in units of the cell vectors:
Ca1 0.0422 0.0422 0.2078
Ca2 0.1243 0.1243 0.6257
Ca3 0.2078 0.2078 0.0422
Ca4 0.3743 0.3743 0.8757
Ca5 0.6257 0.6257 0.1243
Ca6 0.7922 0.7922 0.9578
Ca7 0.8757 0.8757 0.3743
Ca8 0.9578 0.9578 0.7922
Dy1 0.2918 0.2918 0.4582
Dy2 0.4582 0.4582 0.2918
Dy3 0.5418 0.5418 0.7082
Dy4 0.7082 0.7082 0.5418
S1 0.0404 0.5409 0.2153
S2 0.1305 0.6195 0.6195
S3 0.2153 0.7034 0.0404
S4 0.2966 0.7847 0.4591
S5 0.3805 0.8695 0.8695
S6 0.4591 0.9596 0.2966
S7 0.5409 0.0404 0.7034
S8 0.6195 0.1305 0.1305
S9 0.7034 0.2153 0.5409
S10 0.7847 0.2966 0.9596
S11 0.8695 0.3805 0.3805
S12 0.9596 0.4591 0.7847

Results
- total magnetization (μB/f.u.) = 0.00
- DFT total energy (eV for the cell shown) = -134.0
- energy relative to the lowest polymorph listed for this composition (eV/atom) = 0.000
- energy relative to the elements, uncorrected (eV/atom) = -2.08
- density (g/cm3) = 4.205
- space group = Fddd, No. 70

Please write out number 2 again, unchanged.
Computed, not measured: Ca2DyS3 after structural relaxation at the PBE level of DFT.

a = 13.1902 Å, b = 12.5779 Å, c = 6.8966 Å
α = 79.44°, β = 69.63°, γ = 30.93°
Sites, in units of the cell vectors:
Ca1 0.0422 0.0422 0.2078
Ca2 0.1243 0.1243 0.6257
Ca3 0.2078 0.2078 0.0422
Ca4 0.3743 0.3743 0.8757
Ca5 0.6257 0.6257 0.1243
Ca6 0.7922 0.7922 0.9578
Ca7 0.8757 0.8757 0.3743
Ca8 0.9578 0.9578 0.7922
Dy1 0.2918 0.2918 0.4582
Dy2 0.4582 0.4582 0.2918
Dy3 0.5418 0.5418 0.7082
Dy4 0.7082 0.7082 0.5418
S1 0.0404 0.5409 0.2153
S2 0.1305 0.6195 0.6195
S3 0.2153 0.7034 0.0404
S4 0.2966 0.7847 0.4591
S5 0.3805 0.8695 0.8695
S6 0.4591 0.9596 0.2966
S7 0.5409 0.0404 0.7034
S8 0.6195 0.1305 0.1305
S9 0.7034 0.2153 0.5409
S10 0.7847 0.2966 0.9596
S11 0.8695 0.3805 0.3805
S12 0.9596 0.4591 0.7847

Results
- total magnetization (μB/f.u.) = 0.00
- DFT total energy (eV for the cell shown) = -134.0
- energy relative to the lowest polymorph listed for this composition (eV/atom) = 0.000
- energy relative to the elements, uncorrected (eV/atom) = -2.08
- density (g/cm3) = 4.205
- space group = Fddd, No. 70